[1]
A relaxed structure of Li2AlSi2. Source: the Alexandria database, functional PBE-GGA.

Calculated values
density of states at the Fermi level: 0.194 states/eV/atom
ΔE_f (raw): 9 meV/atom
polymorph energy (0 for the lowest one): 0.042 eV/atom
total energy: -18.370 eV per cell

Cell lengths 6.368, 6.368, 6.368 Å; angles 146.13, 146.13, 48.65 degrees
Atoms (fractional coordinates):
Li1 0.250 0.750 0.500
Li2 0.750 0.250 0.500
Al1 0.000 0.000 0.000
Si1 0.404 0.404 0.000
Si2 0.596 0.596 0.000

---

[2]
A relaxed structure of SrCoSb2. Source: the Alexandria database, functional PBE-GGA.

Calculated values
density of states at the Fermi level: 0.804 states/eV/atom
ΔE_f (raw): -58 meV/atom
total energy: -17.264 eV per cell

Cell lengths 3.438, 3.438, 7.893 Å; angles 90.00, 90.00, 90.00 degrees
Atoms (fractional coordinates):
Sr1 0.000 0.000 0.000
Co1 0.000 0.000 0.500
Sb1 0.500 0.500 0.311
Sb2 0.500 0.500 0.689

---

[3]
A relaxed structure of YHoAgIr. Source: the Alexandria database, functional PBE-GGA.

Calculated values
density of states at the Fermi level: 0.826 states/eV/atom
calculated formation energy: -0.60 eV per atom
total energy: -25.167 eV per cell

Cell lengths 4.968, 4.968, 4.968 Å; angles 60.00, 60.00, 60.00 degrees
Atoms (fractional coordinates):
Y1 0.000 0.000 0.000
Ho1 0.500 0.500 0.500
Ag1 0.250 0.250 0.250
Ir1 0.750 0.750 0.750

---

[4]
A relaxed structure of Ca3AcCo2. Source: the Alexandria database, functional PBE-GGA.

Calculated values
density of states at the Fermi level: 1.035 states/eV/atom
calculated formation energy: 0.03 eV per atom
total energy: -48.325 eV per cell

Cell lengths 8.982, 8.982, 12.204 Å; angles 120.83, 120.83, 25.69 degrees
Atoms (fractional coordinates):
Ca1 0.085 0.085 0.434
Ca2 0.089 0.089 0.949
Ca3 0.346 0.346 0.748
Ca4 0.654 0.654 0.252
Ca5 0.911 0.911 0.051
Ca6 0.915 0.915 0.566
Ac1 0.339 0.339 0.254
Ac2 0.661 0.661 0.746
Co1 0.257 0.257 0.962
Co2 0.260 0.260 0.467
Co3 0.740 0.740 0.533
Co4 0.743 0.743 0.038

---

[5]
A relaxed structure of Ba2NiGe. Source: the Alexandria database, functional PBE-GGA.

Calculated values
density of states at the Fermi level: 0.810 states/eV/atom
calculated formation energy: -0.36 eV per atom
total energy: -15.684 eV per cell

Cell lengths 9.215, 9.215, 9.215 Å; angles 27.33, 27.33, 27.33 degrees
Atoms (fractional coordinates):
Ba1 0.000 0.000 0.000
Ba2 0.162 0.162 0.162
Ni1 0.414 0.414 0.414
Ge1 0.748 0.748 0.748

---

[6]
A relaxed structure of Pr2TaNbN6. Source: the Alexandria database, functional PBE-GGA.

Calculated values
density of states at the Fermi level: 0.745 states/eV/atom
ΔE_f (raw): -926 meV/atom
total energy: -181.390 eV per cell

Cell lengths 5.739, 5.805, 9.952 Å; angles 90.00, 125.19, 90.00 degrees
Atoms (fractional coordinates):
Pr1 0.241 0.041 0.250
Pr2 0.241 0.459 0.750
Pr3 0.759 0.541 0.250
Pr4 0.759 0.959 0.750
Ta1 0.500 0.000 0.000
Ta2 0.500 0.500 0.500
Nb1 0.000 0.000 0.500
Nb2 0.000 0.500 0.000
N1 0.174 0.216 0.957
N2 0.174 0.284 0.457
N3 0.241 0.718 0.957
N4 0.241 0.782 0.457
N5 0.331 0.018 0.751
N6 0.331 0.482 0.251
N7 0.669 0.518 0.749
N8 0.669 0.982 0.249
N9 0.759 0.218 0.543
N10 0.759 0.282 0.043
N11 0.826 0.716 0.543
N12 0.826 0.784 0.043

---

[7]
A relaxed structure of LiCa2Pt2. Source: the Alexandria database, functional PBE-GGA.

Calculated values
density of states at the Fermi level: 0.403 states/eV/atom
polymorph energy (0 for the lowest one): 0.000 eV/atom
calculated formation energy: -0.82 eV per atom
total energy: -44.235 eV per cell

Cell lengths 5.701, 5.701, 7.899 Å; angles 101.94, 101.94, 58.56 degrees
Atoms (fractional coordinates):
Li1 0.123 0.877 0.750
Li2 0.877 0.123 0.250
Ca1 0.209 0.489 0.348
Ca2 0.489 0.209 0.848
Ca3 0.511 0.791 0.152
Ca4 0.791 0.511 0.652
Pt1 0.005 0.735 0.996
Pt2 0.265 0.995 0.504
Pt3 0.735 0.005 0.496
Pt4 0.995 0.265 0.004

---

[8]
A relaxed structure of Er13Tm3. Source: the Alexandria database, functional PBE-GGA.

Calculated values
density of states at the Fermi level: 1.722 states/eV/atom
polymorph energy (0 for the lowest one): 0.000 eV/atom
calculated formation energy: 0.00 eV per atom
total energy: -72.760 eV per cell

Cell lengths 7.152, 8.300, 8.300 Å; angles 83.63, 90.00, 90.00 degrees
Atoms (fractional coordinates):
Er1 0.000 0.000 0.000
Er2 0.000 0.416 0.917
Er3 0.000 0.500 0.500
Er4 0.000 0.917 0.416
Er5 0.250 0.167 0.666
Er6 0.250 0.666 0.167
Er7 0.250 0.750 0.750
Er8 0.500 0.000 0.000
Er9 0.500 0.416 0.917
Er10 0.500 0.917 0.416
Er11 0.750 0.167 0.666
Er12 0.750 0.666 0.167
Er13 0.750 0.750 0.750
Tm1 0.250 0.250 0.250
Tm2 0.500 0.499 0.499
Tm3 0.750 0.250 0.250

---

[9]
A relaxed structure of LiTiAl. Source: the Alexandria database, functional PBE-GGA.

Calculated values
density of states at the Fermi level: 0.771 states/eV/atom
polymorph energy (0 for the lowest one): 0.016 eV/atom
calculated formation energy: -0.19 eV per atom
total energy: -28.252 eV per cell

Cell lengths 7.734, 7.734, 4.626 Å; angles 90.00, 90.00, 159.17 degrees
Atoms (fractional coordinates):
Li1 0.227 0.773 0.750
Li2 0.773 0.227 0.250
Ti1 0.445 0.555 0.250
Ti2 0.555 0.445 0.750
Al1 0.109 0.891 0.250
Al2 0.891 0.109 0.750

---

[10]
A relaxed structure of Mg2PaPb4. Source: the Alexandria database, functional PBE-GGA.

Calculated values
density of states at the Fermi level: 0.998 states/eV/atom
calculated formation energy: 0.05 eV per atom
total energy: -27.190 eV per cell

Cell lengths 6.520, 6.520, 4.896 Å; angles 90.00, 90.00, 105.40 degrees
Atoms (fractional coordinates):
Mg1 0.231 0.769 0.000
Mg2 0.769 0.231 0.000
Pa1 0.000 0.000 0.500
Pb1 0.000 0.500 0.500
Pb2 0.286 0.286 0.000
Pb3 0.500 0.000 0.500
Pb4 0.714 0.714 0.000

---

[11]
A relaxed structure of TeOF3. Source: the Alexandria database, functional PBE-GGA.

Calculated values
density of states at the Fermi level: 0.873 states/eV/atom
ΔE_f (raw): -765 meV/atom
polymorph energy (0 for the lowest one): 0.000 eV/atom
total energy: -17.541 eV per cell

Cell lengths 4.318, 4.318, 4.318 Å; angles 90.00, 90.00, 90.00 degrees
Atoms (fractional coordinates):
Te1 0.000 0.000 0.000
O1 0.500 0.500 0.500
F1 0.000 0.000 0.500
F2 0.000 0.500 0.000
F3 0.500 0.000 0.000

---

[12]
A relaxed structure of NaPd6Pb5. Source: the Alexandria database, functional PBE-GGA.

Calculated values
density of states at the Fermi level: 0.563 states/eV/atom
polymorph energy (0 for the lowest one): 0.074 eV/atom
calculated formation energy: -0.13 eV per atom
total energy: -52.604 eV per cell

Cell lengths 7.365, 7.365, 6.636 Å; angles 99.11, 99.11, 126.29 degrees
Atoms (fractional coordinates):
Na1 0.000 0.000 0.000
Pd1 0.111 0.494 0.323
Pd2 0.324 0.324 0.814
Pd3 0.494 0.111 0.323
Pd4 0.506 0.889 0.677
Pd5 0.676 0.676 0.186
Pd6 0.889 0.506 0.677
Pb1 0.122 0.878 0.500
Pb2 0.310 0.690 0.000
Pb3 0.500 0.500 0.500
Pb4 0.690 0.310 0.000
Pb5 0.878 0.122 0.500

---

[13]
A relaxed structure of KZn3Ga3. Source: the Alexandria database, functional PBE-GGA.

Calculated values
density of states at the Fermi level: 0.660 states/eV/atom
calculated formation energy: 0.13 eV per atom
total energy: -26.143 eV per cell

Cell lengths 7.181, 7.181, 7.181 Å; angles 90.00, 90.00, 90.00 degrees
Atoms (fractional coordinates):
K1 0.000 0.000 0.000
K2 0.500 0.500 0.500
Zn1 0.000 0.250 0.500
Zn2 0.000 0.750 0.500
Zn3 0.250 0.500 0.000
Zn4 0.500 0.000 0.250
Zn5 0.500 0.000 0.750
Zn6 0.750 0.500 0.000
Ga1 0.000 0.500 0.250
Ga2 0.000 0.500 0.750
Ga3 0.250 0.000 0.500
Ga4 0.500 0.250 0.000
Ga5 0.500 0.750 0.000
Ga6 0.750 0.000 0.500

---

[14]
A relaxed structure of VRhI. Source: the Alexandria database, functional PBE-GGA.

Calculated values
density of states at the Fermi level: 0.934 states/eV/atom
ΔE_f (raw): 113 meV/atom
polymorph energy (0 for the lowest one): 0.308 eV/atom
total energy: -35.363 eV per cell

Cell lengths 3.408, 3.473, 10.826 Å; angles 90.00, 98.79, 90.00 degrees
Atoms (fractional coordinates):
V1 0.000 0.000 0.000
V2 0.442 0.500 0.880
Rh1 0.110 0.000 0.228
Rh2 0.548 0.500 0.099
I1 0.202 0.500 0.415
I2 0.873 0.000 0.737

---

[15]
A relaxed structure of SrLi4P. Source: the Alexandria database, functional PBE-GGA.

Calculated values
density of states at the Fermi level: 0.344 states/eV/atom
calculated formation energy: -0.07 eV per atom
total energy: -15.195 eV per cell

Cell lengths 5.570, 5.570, 5.570 Å; angles 60.00, 60.00, 60.00 degrees
Atoms (fractional coordinates):
Sr1 0.000 0.000 0.000
Li1 0.131 0.623 0.623
Li2 0.623 0.131 0.623
Li3 0.623 0.623 0.131
Li4 0.623 0.623 0.623
P1 0.250 0.250 0.250

---

[16]
A relaxed structure of TcGeOF2. Source: the Alexandria database, functional PBE-GGA.

Calculated values
density of states at the Fermi level: 0.446 states/eV/atom
ΔE_f (raw): -566 meV/atom
polymorph energy (0 for the lowest one): 0.317 eV/atom
total energy: -26.512 eV per cell

Cell lengths 4.364, 4.364, 3.858 Å; angles 90.00, 90.00, 90.00 degrees
Atoms (fractional coordinates):
Tc1 0.000 0.000 0.000
Ge1 0.500 0.500 0.500
O1 0.500 0.500 0.000
F1 0.000 0.500 0.500
F2 0.500 0.000 0.500

---

[17]
A relaxed structure of GdY2Tc. Source: the Alexandria database, functional PBE-GGA.

Calculated values
density of states at the Fermi level: 1.730 states/eV/atom
polymorph energy (0 for the lowest one): 0.000 eV/atom
calculated formation energy: 0.04 eV per atom
total energy: -37.215 eV per cell

Cell lengths 3.497, 3.497, 8.789 Å; angles 90.00, 90.00, 90.00 degrees
Atoms (fractional coordinates):
Gd1 0.000 0.000 0.000
Y1 0.500 0.500 0.314
Y2 0.500 0.500 0.686
Tc1 0.000 0.000 0.500

---

[18]
A relaxed structure of CrHg3. Source: the Alexandria database, functional PBE-GGA.

Calculated values
density of states at the Fermi level: 0.460 states/eV/atom
calculated formation energy: 0.34 eV per atom
total energy: -9.173 eV per cell

Cell lengths 5.340, 5.340, 5.204 Å; angles 103.42, 103.42, 37.47 degrees
Atoms (fractional coordinates):
Cr1 0.000 0.000 0.000
Hg1 0.263 0.263 0.766
Hg2 0.500 0.500 0.500
Hg3 0.737 0.737 0.234

---

[19]
A relaxed structure of Ti2Cd. Source: the Alexandria database, functional PBE-GGA.

Calculated values
density of states at the Fermi level: 0.498 states/eV/atom
calculated formation energy: -0.07 eV per atom
total energy: -16.914 eV per cell

Cell lengths 7.076, 7.076, 7.076 Å; angles 156.73, 156.73, 33.14 degrees
Atoms (fractional coordinates):
Ti1 0.177 0.177 0.000
Ti2 0.823 0.823 0.000
Cd1 0.500 0.500 0.000

---

[20]
A relaxed structure of Ca2HfGa3Pt4. Source: the Alexandria database, functional PBE-GGA.

Calculated values
density of states at the Fermi level: 0.477 states/eV/atom
calculated formation energy: -0.91 eV per atom
total energy: -56.282 eV per cell

Cell lengths 4.166, 4.166, 11.364 Å; angles 90.00, 90.00, 90.00 degrees
Atoms (fractional coordinates):
Ca1 0.000 0.500 0.238
Ca2 0.500 0.000 0.762
Hf1 0.000 0.000 0.500
Ga1 0.000 0.500 0.869
Ga2 0.500 0.000 0.131
Ga3 0.500 0.500 0.500
Pt1 0.000 0.000 0.000
Pt2 0.000 0.500 0.648
Pt3 0.500 0.000 0.352
Pt4 0.500 0.500 0.000

---

[21]
A relaxed structure of CsRb2Cl2. Source: the Alexandria database, functional PBE-GGA.

Calculated values
density of states at the Fermi level: 0.186 states/eV/atom
ΔE_f (raw): -1256 meV/atom
polymorph energy (0 for the lowest one): 0.157 eV/atom
total energy: -25.519 eV per cell

Cell lengths 10.566, 10.566, 4.329 Å; angles 90.00, 90.00, 90.00 degrees
Atoms (fractional coordinates):
Cs1 0.000 0.000 0.000
Cs2 0.500 0.500 0.000
Rb1 0.121 0.379 0.000
Rb2 0.379 0.879 0.000
Rb3 0.621 0.121 0.000
Rb4 0.879 0.621 0.000
Cl1 0.132 0.632 0.500
Cl2 0.368 0.132 0.500
Cl3 0.632 0.868 0.500
Cl4 0.868 0.368 0.500

---

[22]
A relaxed structure of Tb2Si3Au5. Source: the Alexandria database, functional PBE-GGA.

Calculated values
density of states at the Fermi level: 0.189 states/eV/atom
ΔE_f (raw): -550 meV/atom
total energy: -94.841 eV per cell

Cell lengths 12.435, 12.435, 7.098 Å; angles 90.00, 90.00, 159.70 degrees
Atoms (fractional coordinates):
Tb1 0.020 0.980 0.500
Tb2 0.326 0.674 0.521
Tb3 0.674 0.326 0.021
Tb4 0.980 0.020 0.000
Si1 0.105 0.895 0.195
Si2 0.271 0.729 0.056
Si3 0.452 0.548 0.293
Si4 0.548 0.452 0.793
Si5 0.729 0.271 0.556
Si6 0.895 0.105 0.695
Au1 0.100 0.900 0.838
Au2 0.196 0.804 0.347
Au3 0.218 0.782 0.751
Au4 0.376 0.624 0.043
Au5 0.447 0.553 0.695
Au6 0.553 0.447 0.195
Au7 0.624 0.376 0.543
Au8 0.782 0.218 0.251
Au9 0.804 0.196 0.847
Au10 0.900 0.100 0.338

---

[23]
A relaxed structure of Cu2PtSe. Source: the Alexandria database, functional PBE-GGA.

Calculated values
density of states at the Fermi level: 0.573 states/eV/atom
ΔE_f (raw): 94 meV/atom
total energy: -17.344 eV per cell

Cell lengths 4.825, 4.825, 3.979 Å; angles 114.14, 114.14, 45.17 degrees
Atoms (fractional coordinates):
Cu1 0.246 0.246 0.245
Cu2 0.754 0.754 0.755
Pt1 0.000 0.000 0.500
Se1 0.500 0.500 0.000

---

[24]
A relaxed structure of TaP2W. Source: the Alexandria database, functional PBE-GGA.

Calculated values
density of states at the Fermi level: 0.569 states/eV/atom
calculated formation energy: 0.33 eV per atom
total energy: -34.296 eV per cell

Cell lengths 4.416, 4.416, 4.416 Å; angles 60.00, 60.00, 60.00 degrees
Atoms (fractional coordinates):
Ta1 0.000 0.000 0.000
P1 0.500 0.500 0.500
P2 0.750 0.750 0.750
W1 0.250 0.250 0.250